5
Lattice="4.5407 0.0000 0.0000 0.0000 3.8144 0.0000 0.0000 0.0000 4.5407" Properties=species:S:1:pos:R:3 comment="PBE-GGA CaInNO2, optimized geometry" space_group=P4/mmm formation_energy_uncorrected_mev_per_atom=185.8 pbc="T T T"
O 0.0000 0.0000 2.2704
O 2.2704 0.0000 0.0000
N 0.0000 0.0000 0.0000
Ca 2.2704 1.9072 2.2704
In 0.0000 1.9072 0.0000

***

12
Lattice="-3.5134 -3.8030 2.6952 2.7517 0.9939 4.9895 -2.4256 4.4060 3.0549" Properties=species:S:1:pos:R:3 comment="PBE-GGA P2Rh, optimized geometry" e_form_ev_per_atom=-0.65 space_group=P2_1/c pbc="T T T"
Rh 1.2959 1.9975 4.5239
Rh -1.5227 -0.7118 3.3475
Rh -1.6647 2.3086 7.3921
Rh -4.4833 -0.4006 6.2157
P -0.2673 3.2281 5.7570
P 0.0506 0.0566 4.9160
P -2.8840 1.3140 9.2112
P -2.4254 1.5017 3.7533
P -0.7620 0.0951 6.9863
P -3.2380 1.5403 5.8236
P -2.9201 -1.6313 4.9826
P -0.3034 0.2829 1.5284

***

8
Lattice="4.8014 0.0000 0.0000 0.0000 4.8014 0.0000 0.0000 0.0000 10.0008" Properties=species:S:1:pos:R:3 comment="PBE-GGA In6BiPb, optimized geometry" e_form_ev_per_atom=0.02 space_group=P4/mmm pbc="T T T"
In 2.4007 0.0000 7.4843
In 2.4007 2.4007 5.0004
In 0.0000 2.4007 7.4843
In 0.0000 2.4007 2.5164
In 2.4007 2.4007 0.0000
In 2.4007 0.0000 2.5164
Pb 0.0000 0.0000 0.0000
Bi 0.0000 0.0000 5.0004

***

4
Lattice="-2.2395 -3.7343 0.3195 2.9236 -1.7615 -0.0952 2.3437 -0.9162 5.7195" Properties=species:S:1:pos:R:3 comment="PBE-GGA LiIn2Au, optimized geometry" e_form_ev_per_atom=-0.22 space_group=P2/m pbc="T T T"
In 2.9417 -1.5221 2.8296
In 4.9592 -2.4944 5.6069
Li 0.1971 -2.5366 1.5658
Au 2.8307 -3.8754 4.3780

***

5
Lattice="5.4708 0.0000 0.0000 0.0000 5.1181 0.0000 0.0000 0.0000 5.4708" Properties=species:S:1:pos:R:3 comment="PBE-GGA CaTaSb2Br, optimized geometry" space_group=P4/mmm formation_energy_uncorrected_mev_per_atom=-150.6 pbc="T T T"
Br 0.0000 2.5591 0.0000
Ca 2.7354 2.5591 2.7354
Sb 0.0000 0.0000 2.7354
Sb 2.7354 0.0000 0.0000
Ta 0.0000 0.0000 0.0000

***

4
Lattice="3.2668 0.0000 0.0000 1.6334 2.8291 0.0000 1.6334 0.9430 12.1645" Properties=species:S:1:pos:R:3 comment="PBE-GGA TaBiPb2, optimized geometry" e_form_ev_per_atom=0.70 space_group=R-3m pbc="T T T"
Pb 1.6334 0.9430 9.2213
Pb 4.9002 2.8291 2.9432
Bi 3.2668 1.8861 6.0823
Ta 0.0000 0.0000 0.0000

***

no.,DFT total energy (eV per atom),N(E_F) (states/eV/f.u.)
1,-4.41,1.32
2,-6.70,0.01
3,-2.98,4.40
4,-2.88,1.05
5,-4.90,2.04
6,-5.09,4.39